No. 1
Here is a geometry-optimized Li2Ca4Cu structure from the Alexandria database. Energies are from PBE.

Values from the calculation:
- formation enthalpy at 0 K (meV per atom) = 112

Lattice parameters (Å, degrees): 5.466 5.466 16.782 90.00 90.00 90.00
Space group I4/mmm (No. 139)
Asymmetric unit:
Li: 0.000 0.000 0.124 (multiplicity 4)
Ca: 0.000 0.000 0.325 (multiplicity 4)
Ca: 0.000 0.500 0.000 (multiplicity 4)
Cu: 0.000 0.000 0.500 (multiplicity 2)

=====

No. 2
Here is a geometry-optimized PmSm6Al6 structure from the Alexandria database. Energies are from PBE.

Values from the calculation:
- formation enthalpy at 0 K (meV per atom) = -279

Lattice parameters (Å, degrees): 6.0070 6.0070 10.7870 90.00 90.00 120.00
Space group P6/mmm (No. 191)
Asymmetric unit:
Pm: 0.0000 0.0000 0.0000 (multiplicity 1)
Sm: 0.0000 0.0000 0.3298 (multiplicity 2)
Sm: 0.3333 0.6667 0.0000 (multiplicity 2)
Sm: 0.3333 0.6667 0.5000 (multiplicity 2)
Al: 0.0000 0.5000 0.2450 (multiplicity 6)

=====

No. 3
Here is a geometry-optimized Mn2FeRu structure from the Alexandria database. Energies are from PBE.

Values from the calculation:
- E above lowest polymorph (eV/atom) = 0.049
- formation enthalpy at 0 K (meV per atom) = 64

Lattice parameters (Å, degrees): 2.595 3.626 5.147 90.00 90.00 90.00
Space group Pmm2 (No. 25)
Asymmetric unit:
Mn: 0.000 0.000 0.000 (multiplicity 1)
Mn: 0.500 0.500 0.247 (multiplicity 1)
Fe: 0.500 0.500 0.754 (multiplicity 1)
Ru: 0.000 0.000 0.504 (multiplicity 1)

=====

No. 4
Here is a geometry-optimized La2NdSb structure from the Alexandria database. Energies are from PBE.

Values from the calculation:
- E above lowest polymorph (eV/atom) = 0.065
- E_form (uncorrected) (meV/atom) = -538

Lattice parameters (Å, degrees): 4.284 4.284 7.199 90.00 90.00 90.00
Space group P4/mmm (No. 123)
Asymmetric unit:
La: 0.000 0.000 0.215 (multiplicity 2)
Nd: 0.500 0.500 0.500 (multiplicity 1)
Sb: 0.500 0.500 0.000 (multiplicity 1)

=====

Number 1: total moment 0.00 μB/f.u.. Number 2: total moment 0.54 μB/f.u.. Number 3: total moment 0.65 μB/f.u.. Number 4: total moment 0.00 μB/f.u..